Entry 1:
An optimized crystal structure of K3RbRh. Source: the Alexandria database, functional PBEsol.

```
K3RbRh
1.0
6.864 0.000 0.000
0.000 6.864 0.000
0.000 0.000 6.864
K Rb Rh
3 1 1
direct
0.000 0.000 0.500
0.000 0.500 0.000
0.500 0.000 0.000
0.000 0.000 0.000
0.500 0.500 0.500
```

The formation energy is 637 kJ/mol of formula units. The space group is Pm-3m.



Entry 2:
An optimized crystal structure of Rb2S. Source: the Alexandria database, functional PBEsol.

```
Rb2S
1.0
7.671 0.000 0.000
0.000 7.671 0.000
0.000 0.000 7.671
Rb S
8 4
direct
0.250 0.250 0.250
0.250 0.250 0.750
0.250 0.750 0.250
0.250 0.750 0.750
0.750 0.250 0.250
0.750 0.250 0.750
0.750 0.750 0.250
0.750 0.750 0.750
0.000 0.000 0.000
0.000 0.500 0.500
0.500 0.000 0.500
0.500 0.500 0.000
```

The value obtained for the final energy is -3.167 eV/atom. The space group is Fm-3m.



Entry 3:
An optimized crystal structure of Zr3Au. Source: the Alexandria database, functional PBEsol.

```
Zr3Au
1.0
5.442 0.000 0.000
0.000 5.442 0.000
0.000 0.000 5.442
Zr Au
6 2
direct
0.000 0.250 0.500
0.000 0.750 0.500
0.250 0.500 0.000
0.500 0.000 0.250
0.500 0.000 0.750
0.750 0.500 0.000
0.000 0.000 0.000
0.500 0.500 0.500
```

The formation energy is -149 kJ/mol of formula units. The space group is Pm-3n.



Entry 4:
An optimized crystal structure of TlCd5. Source: the Alexandria database, functional PBEsol.

```
TlCd5
1.0
4.442 0.000 0.000
0.000 13.391 0.000
0.000 0.000 4.466
Tl Cd
2 10
direct
0.000 0.000 0.000
0.500 0.500 0.000
0.000 0.171 0.500
0.000 0.328 0.000
0.000 0.500 0.500
0.000 0.672 0.000
0.000 0.829 0.500
0.500 0.000 0.500
0.500 0.172 0.000
0.500 0.329 0.500
0.500 0.671 0.500
0.500 0.828 0.000
```

The formation energy is 26 kJ/mol of formula units. The space group is Cmmm.



Entry 5:
An optimized crystal structure of CaScC2. Source: the Alexandria database, functional PBEsol.

```
CaScC2
1.0
4.603 0.000 0.000
0.000 4.603 0.000
0.000 0.000 13.478
Ca Sc C
4 4 8
direct
0.000 0.000 0.000
0.000 0.500 0.250
0.500 0.000 0.750
0.500 0.500 0.500
0.000 0.000 0.500
0.000 0.500 0.750
0.500 0.000 0.250
0.500 0.500 0.000
0.143 0.250 0.625
0.250 0.643 0.875
0.250 0.857 0.375
0.357 0.250 0.125
0.643 0.750 0.125
0.750 0.143 0.375
0.750 0.357 0.875
0.857 0.750 0.625
```

The formation energy is 346 kJ/mol of formula units. The space group is I-42d.



Entry 6:
An optimized crystal structure of CaRe2Ir. Source: the Alexandria database, functional PBEsol.

```
CaRe2Ir
1.0
4.814 0.000 0.000
0.000 4.814 0.000
0.000 0.000 2.759
Ca Re Ir
1 2 1
direct
0.000 0.000 0.000
0.000 0.500 0.500
0.500 0.000 0.500
0.500 0.500 0.000
```

The formation energy is 312 kJ/mol of formula units. The space group is P4/mmm.



Entry 7:
An optimized crystal structure of TaInSe. Source: the Alexandria database, functional PBEsol.

```
TaInSe
1.0
3.252 0.000 0.000
-1.626 2.816 0.000
0.000 0.000 6.534
Ta In Se
1 1 1
direct
0.000 0.000 0.000
0.333 0.667 0.654
0.667 0.333 0.264
```

The value obtained for the final energy is -6.774 eV/atom. The space group is P3m1.



Entry 8:
An optimized crystal structure of BiBPdSe2. Source: the Alexandria database, functional PBEsol.

```
BiBPdSe2
1.0
5.132 0.000 0.000
0.000 5.132 0.000
0.000 0.000 3.931
Bi B Pd Se
1 1 1 2
direct
0.000 0.000 0.000
0.500 0.500 0.000
0.500 0.500 0.500
0.000 0.500 0.500
0.500 0.000 0.500
```

The value obtained for the final energy is -4.621 eV/atom. The space group is P4/mmm.



Entry 9:
An optimized crystal structure of RbInMo3. Source: the Alexandria database, functional PBEsol.

```
RbInMo3
1.0
4.642 0.000 0.000
0.000 4.642 0.000
0.000 0.000 4.642
Rb In Mo
1 1 3
direct
0.000 0.000 0.000
0.500 0.500 0.500
0.000 0.000 0.500
0.000 0.500 0.000
0.500 0.000 0.000
```

The formation energy is 1456 kJ/mol of formula units. The space group is Pm-3m.



Entry 10:
An optimized crystal structure of Ba4CaAu. Source: the Alexandria database, functional PBEsol.

```
Ba4CaAu
1.0
0.000 5.115 5.115
5.115 0.000 5.115
5.115 5.115 0.000
Ba Ca Au
4 1 1
direct
0.123 0.123 0.123
0.123 0.123 0.630
0.123 0.630 0.123
0.630 0.123 0.123
0.500 0.500 0.500
0.750 0.750 0.750
```

The formation energy is 238 kJ/mol of formula units. The space group is F-43m.



Entry 11:
An optimized crystal structure of InBiB3. Source: the Alexandria database, functional PBEsol.

```
InBiB3
1.0
4.490 0.000 0.000
0.000 4.490 0.000
0.000 0.000 4.490
In Bi B
1 1 3
direct
0.000 0.000 0.000
0.500 0.500 0.500
0.000 0.000 0.500
0.000 0.500 0.000
0.500 0.000 0.000
```

The formation energy is 991 kJ/mol of formula units. The space group is Pm-3m.



Entry 12:
An optimized crystal structure of LaSn3Ru. Source: the Alexandria database, functional PBEsol.

```
LaSn3Ru
1.0
9.711 0.000 0.000
0.000 9.711 0.000
0.000 0.000 9.711
La Sn Ru
8 24 8
direct
0.000 0.000 0.000
0.000 0.250 0.500
0.000 0.750 0.500
0.250 0.500 0.000
0.500 0.000 0.250
0.500 0.000 0.750
0.500 0.500 0.500
0.750 0.500 0.000
0.000 0.316 0.157
0.000 0.316 0.843
0.000 0.684 0.157
0.000 0.684 0.843
0.157 0.000 0.316
0.157 0.000 0.684
0.184 0.500 0.343
0.184 0.500 0.657
0.316 0.157 0.000
0.316 0.843 0.000
0.343 0.184 0.500
0.343 0.816 0.500
0.500 0.343 0.184
0.500 0.343 0.816
0.500 0.657 0.184
0.500 0.657 0.816
0.657 0.184 0.500
0.657 0.816 0.500
0.684 0.157 0.000
0.684 0.843 0.000
0.816 0.500 0.343
0.816 0.500 0.657
0.843 0.000 0.316
0.843 0.000 0.684
0.250 0.250 0.250
0.250 0.250 0.750
0.250 0.750 0.250
0.250 0.750 0.750
0.750 0.250 0.250
0.750 0.250 0.750
0.750 0.750 0.250
0.750 0.750 0.750
```

The formation energy is -277 kJ/mol of formula units. The space group is Pm-3n.



Repeat the tenth record exactly.
An optimized crystal structure of Ba4CaAu. Source: the Alexandria database, functional PBEsol.

```
Ba4CaAu
1.0
0.000 5.115 5.115
5.115 0.000 5.115
5.115 5.115 0.000
Ba Ca Au
4 1 1
direct
0.123 0.123 0.123
0.123 0.123 0.630
0.123 0.630 0.123
0.630 0.123 0.123
0.500 0.500 0.500
0.750 0.750 0.750
```

The formation energy is 238 kJ/mol of formula units. The space group is F-43m.